Tl2RuPb2O6: relaxed, GGA-PBE.

POSCAR file:
```
Tl2RuPb2O6
1.0
-4.405 -2.973 2.770
0.905 -0.987 -5.842
5.023 -3.569 2.274
Tl Ru Pb O
2 1 2 6
Cartesian
-3.536 -2.648 1.360 Tl
0.036 -1.313 -4.431 Tl
2.512 -1.785 1.137 Ru
1.636 -3.438 -1.816 Pb
-0.113 -4.092 1.019 Pb
0.695 -5.587 -0.860 O
3.429 -2.843 -0.270 O
0.828 -1.943 0.062 O
1.941 -3.399 2.142 O
-1.906 -4.687 -0.527 O
-0.418 -4.131 -2.940 O
```

* symmetry: C2/m, No. 12
* spin magnetization: 0.454 μB/f.u.
* uncorrected formation energy: -879 meV per atom